# 1
DFT (PBE-GGA) results for a geometry-optimized FeP2Ir structure.

Values from the calculation:
DOS(E_F) = 3.578 states/eV/cell
symmetry = Fmmm, No. 69
VASP energy = -6.899 eV/atom
formation enthalpy at 0 K = 0.1370 eV per atom
spin magnetization = 2.49 μB per cell

Geometry as extended XYZ:
```
4
Lattice="-2.839 -2.523 0.371 2.496 -0.589 -3.950 2.461 -2.910 0.200" Properties=species:S:1:pos:R:3 pbc="T T T"
Fe 2.479 -1.750 -1.875
Ir -0.171 -1.556 -1.789
P 0.000 0.000 0.000
P -0.189 -2.717 0.286
```



# 2
DFT (PBE-GGA) results for a geometry-optimized KLiMgPb structure.

Values from the calculation:
DOS(E_F) = 0.426 states/eV/cell
symmetry = F-43m, No. 216
VASP energy = -2.170 eV/atom
formation enthalpy at 0 K = -0.0910 eV per atom
spin magnetization = 0.00 μB per cell

Geometry as extended XYZ:
```
4
Lattice="-3.768 -3.072 -2.134 1.353 -4.326 -2.765 -0.935 -4.829 1.999" Properties=species:S:1:pos:R:3 pbc="T T T"
Pb -0.838 -3.057 -0.725
K -2.513 -9.170 -2.175
Mg 0.000 0.000 0.000
Li -1.675 -6.113 -1.450
```



# 3
DFT (PBE-GGA) results for a geometry-optimized Dy8As3PSe3 structure.

Values from the calculation:
uncorrected formation energy = -1564 meV per atom
DOS(E_F) = 6.553 states/eV/cell
symmetry = R-3m, No. 166
VASP energy = -6.006 eV/atom
spin magnetization = 0.00 μB per cell

Geometry as extended XYZ:
```
15
Lattice="8.136 0.000 0.000 -4.068 7.045 -0.025 0.000 -4.674 6.672" Properties=species:S:1:pos:R:3 pbc="T T T"
Dy 0.000 2.354 1.572
Dy 4.068 0.017 5.075
Dy 4.068 2.448 1.668
Dy 0.000 -0.077 4.979
Dy 2.115 5.830 1.657
Dy 1.953 -3.459 4.991
Dy -2.115 5.830 1.657
Dy 6.183 -3.459 4.991
As 0.000 0.000 0.000
As -2.034 3.523 -0.012
As 2.034 3.523 -0.012
P 0.000 -2.337 3.336
Se 4.068 -2.337 3.336
Se 2.034 1.186 3.324
Se -2.034 1.186 3.324
```



Q: Look up the DOS(E_F) of the first one.
A: 3.578 states/eV/cell



Q: VASP energy of number 2 (KLiMgPb)?
A: -2.170 eV/atom



What did the second record say?
DFT (PBE-GGA) results for a geometry-optimized KLiMgPb structure.

Values from the calculation:
DOS(E_F) = 0.426 states/eV/cell
symmetry = F-43m, No. 216
VASP energy = -2.170 eV/atom
formation enthalpy at 0 K = -0.0910 eV per atom
spin magnetization = 0.00 μB per cell

Geometry as extended XYZ:
```
4
Lattice="-3.768 -3.072 -2.134 1.353 -4.326 -2.765 -0.935 -4.829 1.999" Properties=species:S:1:pos:R:3 pbc="T T T"
Pb -0.838 -3.057 -0.725
K -2.513 -9.170 -2.175
Mg 0.000 0.000 0.000
Li -1.675 -6.113 -1.450
```



Q: Among the records above, which one has the highest DOS(E_F)?
A: Dy8As3PSe3